Material: AcCoO2
Method: DFT, PBE with a Hubbard U
State: optimized geometry Values from VASP.

The total energy is -0.49069 Ry/atom.

```
&SYSTEM
  ibrav = 0, nat = 4, ntyp = 3
/
ATOMIC_SPECIES
Ac 227.00 Ac.upf
Co 58.93 Co.upf
O 16.00 O.upf
CELL_PARAMETERS angstrom
1.897 1.095 4.639
-1.897 1.095 4.639
0.000 -2.190 4.639
ATOMIC_POSITIONS crystal
Ac 0.000 0.000 0.000
Co 0.500 0.500 0.500
O 0.240 0.240 0.240
O 0.760 0.760 0.760
```